(1)
Compound: La2PrSm6
Source: the Alexandria database
Functional: PBE
Structure: relaxed

## Properties
Energy relative to the elements = 205 meV per atom
DOS(E_F) = 14.2 states/eV/cell
Space-group type = P-3m1

Cell and atoms, written as POSCAR:
```
La2PrSm6
1.0
7.7402 0.0000 0.0000
-3.8701 6.7032 0.0000
0.0000 0.0000 6.1808
La Pr Sm
2 1 6
direct
0.3333 0.6667 0.2152
0.6667 0.3333 0.7848
0.0000 0.0000 0.0000
0.1877 0.3754 0.7093
0.1877 0.8123 0.7093
0.3754 0.1877 0.2907
0.6246 0.8123 0.7093
0.8123 0.1877 0.2907
0.8123 0.6246 0.2907
```


(2)
Compound: Pu2PbN
Source: the Alexandria database
Functional: PBE
Structure: relaxed

## Properties
DOS(E_F) = 43.1 states/eV/cell
Space-group type = R-3m
Uncorrected formation energy = -0.651 eV per atom

Cell and atoms, written as POSCAR:
```
Pu2PbN
1.0
3.5379 0.0000 0.0000
-1.7690 3.0639 0.0000
0.0000 0.0000 24.7688
Pu Pb N
6 3 3
direct
0.0000 0.0000 0.2220
0.0000 0.0000 0.7780
0.3333 0.6667 0.4446
0.3333 0.6667 0.8887
0.6667 0.3333 0.1113
0.6667 0.3333 0.5554
0.0000 0.0000 0.0000
0.3333 0.6667 0.6667
0.6667 0.3333 0.3333
0.0000 0.0000 0.5000
0.3333 0.6667 0.1667
0.6667 0.3333 0.8333
```


Number 1: VASP energy -4.5669 eV/atom. Number 2: VASP energy -10.8258 eV/atom.